(1)
A plane-wave DFT calculation with PBE was carried out for a relaxed BaHgF2 crystal.

Results
Energy above the lowest structure with this stoichiometry in meV per atom: 0
Energy relative to the elements, uncorrected in eV per formula unit: -10.98
SG: R-3m

a b c (Å): 9.2069 9.2069 9.2069
angles (deg): 26.58 26.58 26.58
Positions (direct):
F1 0.8703 0.8703 0.8703
F2 0.1297 0.1297 0.1297
Ba1 0.5000 0.5000 0.5000
Hg1 0.0000 0.0000 0.0000



(2)
A plane-wave DFT calculation with PBE was carried out for a relaxed Te5C crystal.

Results
Energy above the lowest structure with this stoichiometry in meV per atom: 263
Energy relative to the elements, uncorrected in eV per formula unit: 5.43
SG: P-62m

a b c (Å): 6.9841 6.9841 3.8153
angles (deg): 90.00 90.00 120.00
Positions (direct):
C1 0.0000 0.0000 0.5000
Te1 0.3333 0.6667 0.5000
Te2 0.0000 0.7461 0.0000
Te3 0.6667 0.3333 0.5000
Te4 0.7461 0.0000 0.0000
Te5 0.2539 0.2539 0.0000



(3)
A plane-wave DFT calculation with PBE was carried out for a relaxed Pa2Zn3Cu2 crystal.

Results
Energy of formation in eV per atom: 0.023
Energy above the lowest structure with this stoichiometry in meV per atom: 7
SG: Cmcm

a b c (Å): 9.2419 9.2419 6.6520
angles (deg): 90.00 90.00 153.18
Positions (direct):
Cu1 0.3068 0.6932 0.4445
Cu2 0.6932 0.3068 0.9445
Cu3 0.3068 0.6932 0.0555
Cu4 0.6932 0.3068 0.5555
Zn1 0.5630 0.4370 0.4344
Zn2 0.4370 0.5630 0.5656
Zn3 0.2182 0.7818 0.7500
Zn4 0.4370 0.5630 0.9344
Zn5 0.7818 0.2182 0.2500
Zn6 0.5630 0.4370 0.0656
Pa1 0.1582 0.8418 0.2500
Pa2 0.9529 0.0471 0.2500
Pa3 0.0471 0.9529 0.7500
Pa4 0.8418 0.1582 0.7500



(4)
A plane-wave DFT calculation with PBE was carried out for a relaxed Mg3InAu crystal.

Results
Energy of formation in eV per atom: -0.287
Energy above the lowest structure with this stoichiometry in meV per atom: 0
SG: Pm-3m

a b c (Å): 6.8212 6.8212 6.8212
angles (deg): 90.00 90.00 90.00
Positions (direct):
Mg1 0.7722 0.2278 0.2278
Mg2 0.7722 0.2278 0.7722
Mg3 0.2278 0.7722 0.7722
Mg4 0.2278 0.7722 0.2278
Mg5 0.2278 0.2278 0.2278
Mg6 0.7722 0.7722 0.7722
Mg7 0.5000 0.5000 0.5000
Mg8 0.7722 0.7722 0.2278
Mg9 0.2278 0.2278 0.7722
In1 0.5000 0.5000 0.0000
In2 0.5000 0.0000 0.5000
In3 0.0000 0.5000 0.5000
Au1 0.0000 0.0000 0.5000
Au2 0.5000 0.0000 0.0000
Au3 0.0000 0.5000 0.0000



(5)
A plane-wave DFT calculation with PBE was carried out for a relaxed PrEuNi crystal.

Results
Energy of formation in eV per atom: -0.101
Energy above the lowest structure with this stoichiometry in meV per atom: 0
SG: I4mm

a b c (Å): 3.5779 3.5779 6.9738
angles (deg): 104.86 104.86 90.00
Each line ends with the local moment (μB).
Positions (direct):
Ni1 0.6764 0.6764 0.3528  0.01
Pr1 0.2903 0.2903 0.5806  0.04
Eu1 0.0333 0.0333 0.0666  6.90



(6)
A plane-wave DFT calculation with PBE was carried out for a relaxed Sm4GeAs2S crystal.

Results
Energy relative to the elements, uncorrected in eV per formula unit: -12.01
SG: P2/m

a b c (Å): 4.1663 7.2410 7.2437
angles (deg): 70.63 90.00 90.00
Positions (direct):
Sm1 0.5000 0.2506 0.7513
Sm2 0.0000 0.7494 0.7486
Sm3 0.0000 0.2506 0.2514
Sm4 0.5000 0.7494 0.2487
S1 0.5000 0.5000 0.0000
As1 0.0000 0.0000 0.0000
As2 0.5000 0.0000 0.5000
Ge1 0.0000 0.5000 0.5000



(7)
A plane-wave DFT calculation with PBE was carried out for a relaxed V2GeRh2 crystal.

Results
Energy of formation in eV per atom: -0.209
Energy above the lowest structure with this stoichiometry in meV per atom: 0
SG: P4/mbm

a b c (Å): 7.2842 7.2842 2.7827
angles (deg): 90.00 90.00 90.00
Positions (direct):
Ge1 0.0000 0.0000 0.0000
Ge2 0.5000 0.5000 0.0000
Rh1 0.8678 0.6322 0.0000
Rh2 0.1322 0.3678 0.0000
Rh3 0.3678 0.8678 0.0000
Rh4 0.6322 0.1322 0.0000
V1 0.1631 0.6631 0.5000
V2 0.6631 0.8369 0.5000
V3 0.8369 0.3369 0.5000
V4 0.3369 0.1631 0.5000



(8)
A plane-wave DFT calculation with PBE was carried out for a relaxed PmGdCdRu crystal.

Results
Energy of formation in eV per atom: -0.220
SG: F-43m

a b c (Å): 5.1223 5.1223 5.1223
angles (deg): 60.00 60.00 60.00
Each line ends with the local moment (μB).
Positions (direct):
Gd1 0.5000 0.5000 0.5000  7.04
Cd1 0.2500 0.2500 0.2500  0.00
Pm1 0.0000 0.0000 0.0000  0.02
Ru1 0.7500 0.7500 0.7500  -0.18



(9)
A plane-wave DFT calculation with PBE was carried out for a relaxed MoHPdW2 crystal.

Results
Total DFT energy (no corrections) in eV/atom: -8.928
SG: P4/mmm

a b c (Å): 4.0243 4.0243 4.0040
angles (deg): 90.00 90.00 90.00
Positions (direct):
Mo1 0.0000 0.0000 0.5000
Pd1 0.5000 0.5000 0.5000
W1 0.0000 0.5000 0.0000
W2 0.5000 0.0000 0.0000
H1 0.0000 0.0000 0.0000



(10)
A plane-wave DFT calculation with PBE was carried out for a relaxed SrI3Cl crystal.

Results
Energy above the lowest structure with this stoichiometry in meV per atom: 0
Energy relative to the elements, uncorrected in eV per formula unit: -2.79
SG: Pm-3m

a b c (Å): 6.4484 6.4484 6.4484
angles (deg): 90.00 90.00 90.00
Each line ends with the local moment (μB).
Positions (direct):
I1 0.5000 0.0000 0.0000  0.30
I2 0.0000 0.0000 0.5000  0.26
I3 0.0000 0.5000 0.0000  0.27
Sr1 0.0000 0.0000 0.0000  -0.01
Cl1 0.5000 0.5000 0.5000  0.52



(11)
A plane-wave DFT calculation with PBE was carried out for a relaxed PmDy12Al3 crystal.

Results
Energy of formation in eV per atom: -0.124
SG: P4/mmm

a b c (Å): 4.7950 4.7950 19.6066
angles (deg): 90.00 90.00 90.00
Positions (direct):
Dy1 0.5000 0.0000 0.1360
Dy2 0.5000 0.5000 0.7416
Dy3 0.0000 0.5000 0.1360
Dy4 0.5000 0.5000 0.5000
Dy5 0.5000 0.0000 0.8640
Dy6 0.5000 0.0000 0.6213
Dy7 0.5000 0.5000 0.2584
Dy8 0.0000 0.5000 0.8640
Dy9 0.0000 0.5000 0.6213
Dy10 0.5000 0.5000 0.0000
Dy11 0.5000 0.0000 0.3787
Dy12 0.0000 0.5000 0.3787
Pm1 0.0000 0.0000 0.0000
Al1 0.0000 0.0000 0.7414
Al2 0.0000 0.0000 0.5000
Al3 0.0000 0.0000 0.2586



(12)
A plane-wave DFT calculation with PBE was carried out for a relaxed Ba2LiMnN4 crystal.

Results
Energy relative to the elements, uncorrected in eV per formula unit: -3.84
SG: Fddd

a b c (Å): 4.6788 6.0928 10.1894
angles (deg): 84.94 76.73 67.42
Positions (direct):
N1 0.4231 0.6809 0.4040
N2 0.8540 0.8191 0.9040
N3 0.1729 0.3191 0.4040
N4 0.5771 0.1809 0.0960
N5 0.8960 0.6809 0.5960
N6 0.3269 0.8191 0.0960
N7 0.2420 0.1809 0.9040
N8 0.5080 0.3191 0.5960
Ba1 0.9250 0.5000 0.1500
Ba2 0.1750 0.0000 0.6500
Ba3 0.8250 0.0000 0.3500
Ba4 0.5750 0.5000 0.8500
Li1 0.0000 0.0000 0.0000
Li2 0.7500 0.5000 0.5000
Mn1 0.5000 0.0000 0.0000
Mn2 0.2500 0.5000 0.5000



| no. | calculated density (g/cm3) |
| --- | --- |
| 1 | 4.53 |
| 2 | 6.70 |
| 3 | 10.18 |
| 4 | 6.04 |
| 5 | 7.02 |
| 6 | 6.89 |
| 7 | 8.55 |
| 8 | 9.01 |
| 9 | 14.62 |
| 10 | 3.12 |
| 11 | 8.02 |
| 12 | 4.99 |